# CdSnHg2Pb GGA-PBE optimized geometry
data_CdSnHg2Pb
_symmetry_space_group_name_H-M 'P 4/m m m'
_symmetry_Int_Tables_number 123
_symmetry_space_group_name_Hall '-P 4 2'
_cell_length_a 5.406
_cell_length_b 5.406
_cell_length_c 5.686
_cell_angle_alpha 90.00
_cell_angle_beta 90.00
_cell_angle_gamma 90.00
loop_
_atom_site_label
_atom_site_type_symbol
_atom_site_fract_x
_atom_site_fract_y
_atom_site_fract_z
Cd1 Cd 0.000 0.000 0.000
Sn1 Sn 0.000 0.000 0.500
Hg1 Hg 0.000 0.500 0.000
Pb1 Pb 0.500 0.500 0.500
# DFT formation energy (kJ per mole of atoms): 33
# ΔE to the lowest computed polymorph (meV per atom): 300
# Volume (Å³/cell): 166.1